Entry 1:
Compound: ZrHgPb
Source: Alexandria
Functional: GGA-PBE
Structure: relaxed

a = 9.147 Å, b = 9.147 Å, c = 9.147 Å
α = 159.52°, β = 145.27°, γ = 40.66°
Element x y z (fractional)
Zr1 0.169 0.169 0.000
Zr2 0.831 0.831 0.000
Hg1 0.247 0.000 0.247
Hg2 0.753 0.000 0.753
Pb1 0.345 0.345 0.000
Pb2 0.655 0.655 0.000

Properties
The calculation puts the density of states at the Fermi level at 4.517 states/eV/cell. As for the symmetry: Immm (71). For the energy of formation, the calculation gives 0.136 eV/atom. As for the spin magnetization: 0.000 μB/f.u.

=====

Entry 2:
Compound: Zr2HgPb2
Source: Alexandria
Functional: GGA-PBE
Structure: relaxed

a = 8.041 Å, b = 8.041 Å, c = 3.888 Å
α = 90.00°, β = 90.00°, γ = 90.00°
Element x y z (fractional)
Zr1 0.148 0.352 0.000
Zr2 0.352 0.852 0.000
Zr3 0.648 0.148 0.000
Zr4 0.852 0.648 0.000
Hg1 0.000 0.000 0.500
Hg2 0.500 0.500 0.500
Pb1 0.151 0.651 0.500
Pb2 0.349 0.151 0.500
Pb3 0.651 0.849 0.500
Pb4 0.849 0.349 0.500

Properties
The calculation puts the density of states at the Fermi level at 3.429 states/eV/cell. As for the symmetry: P4/mbm (127). For the energy of formation, the calculation gives 0.118 eV/atom. As for the spin magnetization: 0.000 μB/f.u.

=====

Entry 3:
Compound: ZrHgPb
Source: Alexandria
Functional: GGA-PBE
Structure: relaxed

a = 5.946 Å, b = 5.946 Å, c = 5.946 Å
α = 148.25°, β = 138.47°, γ = 53.20°
Element x y z (fractional)
Zr1 0.000 0.000 0.000
Hg1 0.647 0.647 0.000
Pb1 0.323 0.323 0.000

Properties
The calculation puts the density of states at the Fermi level at 2.177 states/eV/cell. As for the symmetry: Imm2 (44). For the energy of formation, the calculation gives 0.038 eV/atom. As for the spin magnetization: 0.000 μB/f.u.

=====

Entry 4:
Compound: ZrHgPb
Source: Alexandria
Functional: GGA-PBE
Structure: relaxed

a = 3.259 Å, b = 5.399 Å, c = 8.424 Å
α = 82.69°, β = 82.59°, γ = 89.13°
Element x y z (fractional)
Zr1 0.000 0.000 0.000
Zr2 0.195 0.384 0.652
Hg1 0.357 0.107 0.308
Hg2 0.842 0.601 0.340
Pb1 0.528 0.504 0.984
Pb2 0.676 0.897 0.658

Properties
The calculation puts the density of states at the Fermi level at 3.204 states/eV/cell. As for the symmetry: P1 (1). For the energy of formation, the calculation gives -0.042 eV/atom. As for the spin magnetization: 0.000 μB/f.u.

=====

Entry 5:
Compound: ZrHgPb
Source: Alexandria
Functional: GGA-PBE
Structure: relaxed

a = 4.998 Å, b = 4.998 Å, c = 3.385 Å
α = 90.00°, β = 90.00°, γ = 120.00°
Element x y z (fractional)
Zr1 0.000 0.000 0.000
Hg1 0.667 0.333 0.259
Pb1 0.333 0.667 0.592

Properties
The calculation puts the density of states at the Fermi level at 1.451 states/eV/cell. As for the symmetry: P3m1 (156). For the energy of formation, the calculation gives 0.062 eV/atom. As for the spin magnetization: 0.000 μB/f.u.

=====

Entry 6:
Compound: Zr5Hg4Pb
Source: Alexandria
Functional: GGA-PBE
Structure: relaxed

a = 3.200 Å, b = 3.200 Å, c = 21.538 Å
α = 90.00°, β = 90.00°, γ = 90.00°
Element x y z (fractional)
Zr1 0.000 0.000 0.000
Zr2 0.000 0.000 0.196
Zr3 0.000 0.000 0.392
Zr4 0.000 0.000 0.608
Zr5 0.000 0.000 0.804
Hg1 0.500 0.500 0.098
Hg2 0.500 0.500 0.295
Hg3 0.500 0.500 0.705
Hg4 0.500 0.500 0.902
Pb1 0.500 0.500 0.500

Properties
The calculation puts the density of states at the Fermi level at 10.494 states/eV/cell. As for the symmetry: P4/mmm (123). For the energy of formation, the calculation gives -0.157 eV/atom. As for the spin magnetization: 0.095 μB/f.u.

=====

Entry 7:
Compound: ZrHg2Pb2
Source: Alexandria
Functional: GGA-PBE
Structure: relaxed

a = 8.144 Å, b = 8.144 Å, c = 3.946 Å
α = 90.00°, β = 90.00°, γ = 90.00°
Element x y z (fractional)
Zr1 0.000 0.000 0.000
Zr2 0.500 0.500 0.000
Hg1 0.129 0.371 0.000
Hg2 0.371 0.871 0.000
Hg3 0.629 0.129 0.000
Hg4 0.871 0.629 0.000
Pb1 0.175 0.675 0.500
Pb2 0.325 0.175 0.500
Pb3 0.675 0.825 0.500
Pb4 0.825 0.325 0.500

Properties
The calculation puts the density of states at the Fermi level at 6.992 states/eV/cell. As for the symmetry: P4/mbm (127). For the energy of formation, the calculation gives 0.198 eV/atom. As for the spin magnetization: 0.000 μB/f.u.

=====

Entry 8:
Compound: Zr7Hg3Pb
Source: Alexandria
Functional: GGA-PBE
Structure: relaxed

a = 7.523 Å, b = 7.523 Å, c = 5.375 Å
α = 110.78°, β = 110.78°, γ = 86.20°
Element x y z (fractional)
Zr1 0.000 0.000 0.000
Zr2 0.093 0.521 0.307
Zr3 0.308 0.308 0.811
Zr4 0.479 0.907 0.693
Zr5 0.521 0.093 0.307
Zr6 0.692 0.692 0.189
Zr7 0.907 0.479 0.693
Hg1 0.278 0.722 0.000
Hg2 0.500 0.500 0.500
Hg3 0.722 0.278 0.000
Pb1 0.000 0.000 0.500

Properties
The calculation puts the density of states at the Fermi level at 12.762 states/eV/cell. As for the symmetry: C2/m (12). For the energy of formation, the calculation gives 0.151 eV/atom. As for the spin magnetization: 0.000 μB/f.u.

=====

Entry 9:
Compound: Zr2Hg2Pb
Source: Alexandria
Functional: GGA-PBE
Structure: relaxed

a = 7.759 Å, b = 7.759 Å, c = 7.759 Å
α = 148.14°, β = 148.14°, γ = 45.68°
Element x y z (fractional)
Zr1 0.250 0.750 0.500
Zr2 0.750 0.250 0.500
Hg1 0.100 0.100 0.000
Hg2 0.900 0.900 0.000
Pb1 0.500 0.500 0.000

Properties
The calculation puts the density of states at the Fermi level at 3.981 states/eV/cell. As for the symmetry: I4/mmm (139). For the energy of formation, the calculation gives 0.178 eV/atom. As for the spin magnetization: 0.000 μB/f.u.

=====

Entry 10:
Compound: ZrHgPb
Source: Alexandria
Functional: GGA-PBE
Structure: relaxed

a = 7.278 Å, b = 7.278 Å, c = 7.278 Å
α = 153.93°, β = 153.93°, γ = 37.21°
Element x y z (fractional)
Zr1 0.000 0.000 0.000
Hg1 0.646 0.646 0.000
Pb1 0.333 0.333 0.000

Properties
The calculation puts the density of states at the Fermi level at 1.028 states/eV/cell. As for the symmetry: I4mm (107). For the energy of formation, the calculation gives 0.014 eV/atom. As for the spin magnetization: 0.000 μB/f.u.

=====

Entry 11:
Compound: ZrHgPb
Source: Alexandria
Functional: GGA-PBE
Structure: relaxed

a = 5.990 Å, b = 5.990 Å, c = 8.254 Å
α = 99.08°, β = 99.08°, γ = 31.88°
Element x y z (fractional)
Zr1 0.149 0.149 0.390
Zr2 0.851 0.851 0.610
Hg1 0.354 0.354 0.925
Hg2 0.646 0.646 0.075
Pb1 0.406 0.406 0.303
Pb2 0.594 0.594 0.697

Properties
The calculation puts the density of states at the Fermi level at 4.209 states/eV/cell. As for the symmetry: C2/m (12). For the energy of formation, the calculation gives -0.038 eV/atom. As for the spin magnetization: 0.000 μB/f.u.

=====

Entry 12:
Compound: Zr2HgPb2
Source: Alexandria
Functional: GGA-PBE
Structure: relaxed

a = 7.783 Å, b = 7.783 Å, c = 4.170 Å
α = 90.00°, β = 90.00°, γ = 90.00°
Element x y z (fractional)
Zr1 0.139 0.361 0.000
Zr2 0.361 0.861 0.000
Zr3 0.639 0.139 0.000
Zr4 0.861 0.639 0.000
Hg1 0.000 0.000 0.000
Hg2 0.500 0.500 0.000
Pb1 0.165 0.665 0.500
Pb2 0.335 0.165 0.500
Pb3 0.665 0.835 0.500
Pb4 0.835 0.335 0.500

Properties
The calculation puts the density of states at the Fermi level at 8.449 states/eV/cell. As for the symmetry: P4/mbm (127). For the energy of formation, the calculation gives -0.058 eV/atom. As for the spin magnetization: 0.347 μB/f.u.

=====

What is the spin magnetization in the seventh record?
0.000 μB/f.u.